# 1
Material: LiCaAu2
Method: DFT, PBE-GGA
State: relaxed

Cell and atoms, written as extended XYZ:
```
8
Lattice="9.871 0.000 0.000 0.000 4.229 0.000 -1.811 0.000 3.829" Properties=species:S:1:pos:R:3 pbc="T T T"
Li 0.000 0.000 0.000
Li 4.936 2.114 0.000
Ca 2.014 2.114 0.963
Ca 6.950 0.000 0.963
Au -0.906 2.114 1.922
Au 1.111 0.000 2.878
Au 4.030 0.000 1.922
Au 6.047 2.114 2.878
```

## Properties
crystal system	monoclinic
energy of formation from the pure elements	-2.376	eV per formula unit
E	-0.23605	Ry/atom
Fermi-level density of states	3.0	states/eV/cell
total magnetic moment	0.000	μB per atom
space group	Cm

=====

# 2
Material: Li2CaAu
Method: DFT, PBE-GGA
State: relaxed

Cell and atoms, written as extended XYZ:
```
4
Lattice="3.654 0.000 0.000 0.000 3.654 0.000 0.000 0.000 6.365" Properties=species:S:1:pos:R:3 pbc="T T T"
Li 0.000 0.000 1.176
Li 0.000 0.000 5.189
Ca 1.827 1.827 3.183
Au 1.827 1.827 0.000
```

## Properties
crystal system	tetragonal
energy of formation from the pure elements	-1.152	eV per formula unit
E	-0.18850	Ry/atom
Fermi-level density of states	2.3	states/eV/cell
total magnetic moment	0.000	μB per atom
space group	P4/mmm

=====

# 3
Material: Li7CaAu2
Method: DFT, PBE-GGA
State: relaxed

Cell and atoms, written as extended XYZ:
```
10
Lattice="4.706 -5.560 0.000 4.706 5.560 0.000 0.000 0.000 4.225" Properties=species:S:1:pos:R:3 pbc="T T T"
Li 0.000 0.000 0.000
Li 2.275 1.477 0.000
Li 4.706 3.780 2.112
Li 2.275 -1.477 0.000
Li 7.136 1.477 0.000
Li 4.706 -3.780 2.112
Li 7.136 -1.477 0.000
Ca 4.706 0.000 2.112
Au 4.706 2.391 0.000
Au 4.706 -2.391 0.000
```

## Properties
crystal system	orthorhombic
energy of formation from the pure elements	-1.942	eV per formula unit
E	-0.17563	Ry/atom
Fermi-level density of states	5.1	states/eV/cell
total magnetic moment	0.000	μB per atom
space group	Cmmm

=====

# 4
Material: LiCa2Au3
Method: DFT, PBE-GGA
State: relaxed

Cell and atoms, written as extended XYZ:
```
12
Lattice="4.663 0.000 0.000 -2.331 4.038 0.000 0.000 0.000 14.780" Properties=species:S:1:pos:R:3 pbc="T T T"
Li 0.000 2.692 3.695
Li 2.331 1.346 11.085
Ca 0.000 0.000 1.793
Ca 0.000 0.000 5.597
Ca 0.000 0.000 9.183
Ca 0.000 0.000 12.987
Au 0.000 2.692 0.299
Au 0.000 2.692 7.091
Au 0.000 2.692 11.085
Au 2.331 1.346 3.695
Au 2.331 1.346 7.689
Au 2.331 1.346 14.481
```

## Properties
crystal system	hexagonal
energy of formation from the pure elements	-3.787	eV per formula unit
E	-0.23931	Ry/atom
Fermi-level density of states	4.8	states/eV/cell
total magnetic moment	0.000	μB per atom
space group	P6_3/mmc

=====

# 5
Material: LiCaAu2
Method: DFT, PBE-GGA
State: relaxed

Cell and atoms, written as extended XYZ:
```
4
Lattice="3.493 0.000 0.000 0.000 3.493 0.000 0.000 0.000 6.591" Properties=species:S:1:pos:R:3 pbc="T T T"
Li 0.000 0.000 0.000
Ca 0.000 0.000 3.296
Au 1.747 1.747 1.421
Au 1.747 1.747 5.170
```

## Properties
crystal system	tetragonal
energy of formation from the pure elements	-2.662	eV per formula unit
E	-0.24131	Ry/atom
Fermi-level density of states	1.2	states/eV/cell
total magnetic moment	0.000	μB per atom
space group	P4/mmm

=====

# 6
Material: Li9Ca3Au2
Method: DFT, PBE-GGA
State: relaxed

Cell and atoms, written as extended XYZ:
```
14
Lattice="-2.325 5.192 6.519 2.325 -5.192 6.519 2.325 5.192 -6.519" Properties=species:S:1:pos:R:3 pbc="T T T"
Li 0.000 0.000 0.000
Li 2.325 -2.871 5.042
Li 2.325 3.671 -2.253
Li 0.000 2.321 1.477
Li 0.000 1.521 4.266
Li 2.325 3.671 2.253
Li 2.325 2.871 5.042
Li 0.000 1.521 8.773
Li 0.000 8.062 1.477
Ca 2.325 0.000 2.231
Ca 0.000 5.192 0.000
Ca 0.000 5.192 4.289
Au 2.325 2.221 0.000
Au 0.000 2.971 6.519
```

## Properties
crystal system	orthorhombic
energy of formation from the pure elements	-2.992	eV per formula unit
E	-0.17207	Ry/atom
Fermi-level density of states	8.3	states/eV/cell
total magnetic moment	0.000	μB per atom
space group	Immm

=====

# 7
Material: LiCa6Au5
Method: DFT, PBE-GGA
State: relaxed

Cell and atoms, written as extended XYZ:
```
12
Lattice="2.567 -7.775 0.000 2.567 7.775 0.000 0.000 0.000 7.412" Properties=species:S:1:pos:R:3 pbc="T T T"
Li 0.000 0.000 0.000
Ca 2.567 5.117 1.877
Ca 2.567 5.117 5.536
Ca 2.567 0.000 1.954
Ca 2.567 0.000 5.458
Ca 2.567 -5.117 1.877
Ca 2.567 -5.117 5.536
Au 0.000 0.000 3.706
Au 2.567 2.609 3.706
Au 2.567 2.375 0.000
Au 2.567 -2.375 0.000
Au 2.567 -2.609 3.706
```

## Properties
crystal system	orthorhombic
energy of formation from the pure elements	-8.061	eV per formula unit
E	-0.23502	Ry/atom
Fermi-level density of states	9.9	states/eV/cell
total magnetic moment	0.000	μB per atom
space group	Cmmm

=====

# 8
Material: LiCa3Au3
Method: DFT, PBE-GGA
State: relaxed

Cell and atoms, written as extended XYZ:
```
14
Lattice="5.625 -2.133 0.000 5.625 2.133 0.000 -5.229 0.000 14.243" Properties=species:S:1:pos:R:3 pbc="T T T"
Li 0.454 0.000 5.824
Li 5.566 0.000 8.419
Ca -1.140 0.000 10.977
Ca 4.052 0.000 1.105
Ca 2.137 0.000 8.777
Ca 3.884 0.000 5.465
Ca 1.969 0.000 13.138
Ca 7.160 0.000 3.266
Au -0.869 0.000 3.392
Au 0.936 0.000 1.114
Au -1.369 0.000 7.844
Au 7.389 0.000 6.399
Au 5.084 0.000 13.129
Au 6.889 0.000 10.850
```

## Properties
crystal system	monoclinic
energy of formation from the pure elements	-4.944	eV per formula unit
E	-0.23829	Ry/atom
Fermi-level density of states	7.3	states/eV/cell
total magnetic moment	0.000	μB per atom
space group	C2/m